Crystalline SrRhC at its relaxed geometry. Source: Alexandria, functional GGA-PBE.

Structure (extended XYZ):
```
12
Lattice="7.906 0.000 0.000 0.000 4.897 0.000 -3.024 0.000 6.204" Properties=species:S:1:pos:R:3 pbc="T T T"
Sr -0.117 0.000 1.805
Sr 1.046 2.449 4.399
Sr 3.836 2.449 1.805
Sr 4.999 0.000 4.399
Rh -1.782 2.449 5.690
Rh 2.711 0.000 0.514
Rh 2.171 0.000 5.690
Rh 6.664 2.449 0.514
C -1.608 2.449 3.752
C 2.538 0.000 2.452
C 2.345 0.000 3.752
C 6.490 2.449 2.452
```

Summary:
* distance to the lowest polymorph of the same formula: 0.00 eV per formula unit
* M_tot: 0.00 μB/cell
* electronic total energy: -6.099 eV/atom
* ΔH_f (0 K): -0.01 eV per atom
* density of states at the Fermi level: 0.542 states/eV/f.u.
* theoretical density: 5.60 g cm⁻³

Crystalline SrRhC2 at its relaxed geometry. Source: Alexandria, functional GGA-PBE.

Structure (extended XYZ):
```
16
Lattice="5.265 0.000 0.000 0.000 5.265 0.000 0.000 0.000 10.108" Properties=species:S:1:pos:R:3 pbc="T T T"
Sr 0.000 0.000 0.000
Sr 0.000 2.632 2.527
Sr 2.632 0.000 7.581
Sr 2.632 2.632 5.054
Rh 0.000 0.000 5.054
Rh 0.000 2.632 7.581
Rh 2.632 0.000 2.527
Rh 2.632 2.632 0.000
C 0.661 1.316 6.317
C 1.316 3.293 8.844
C 1.316 4.604 3.790
C 1.972 1.316 1.263
C 3.293 3.949 1.263
C 3.949 0.661 3.790
C 3.949 1.972 8.844
C 4.604 3.949 6.317
```

Summary:
* M_tot: 0.00 μB/cell
* electronic total energy: -6.182 eV/atom
* ΔH_f (0 K): 0.69 eV per atom
* density of states at the Fermi level: 2.832 states/eV/f.u.
* theoretical density: 5.09 g cm⁻³

Crystalline SrRhC2 at its relaxed geometry. Source: Alexandria, functional GGA-PBE.

Structure (extended XYZ):
```
16
Lattice="5.947 0.000 0.000 0.000 5.947 0.000 0.000 0.000 5.947" Properties=species:S:1:pos:R:3 pbc="T T T"
Sr 0.000 0.000 0.000
Sr 0.000 2.974 2.974
Sr 2.974 0.000 2.974
Sr 2.974 2.974 0.000
Rh 0.000 0.000 2.974
Rh 0.000 2.974 0.000
Rh 2.974 0.000 0.000
Rh 2.974 2.974 2.974
C 1.487 1.487 1.487
C 1.487 1.487 4.461
C 1.487 4.461 1.487
C 1.487 4.461 4.461
C 4.461 1.487 1.487
C 4.461 1.487 4.461
C 4.461 4.461 1.487
C 4.461 4.461 4.461
```

Summary:
* M_tot: 0.00 μB/cell
* electronic total energy: -5.368 eV/atom
* ΔH_f (0 K): 1.50 eV per atom
* density of states at the Fermi level: 2.123 states/eV/f.u.
* theoretical density: 6.77 g cm⁻³

Crystalline SrRhC at its relaxed geometry. Source: Alexandria, functional GGA-PBE.

Structure (extended XYZ):
```
12
Lattice="5.886 0.000 0.000 0.000 5.886 0.000 0.000 0.000 5.886" Properties=species:S:1:pos:R:3 pbc="T T T"
Sr 0.829 0.829 0.829
Sr 2.114 5.057 3.772
Sr 3.772 2.114 5.057
Sr 5.057 3.772 2.114
Rh 0.878 2.065 3.821
Rh 2.065 3.821 0.878
Rh 3.821 0.878 2.065
Rh 5.008 5.008 5.008
C 0.526 3.469 5.360
C 2.417 2.417 2.417
C 3.469 5.360 0.526
C 5.360 0.526 3.469
```

Summary:
* distance to the lowest polymorph of the same formula: 0.34 eV per formula unit
* M_tot: 0.00 μB/cell
* electronic total energy: -5.986 eV/atom
* ΔH_f (0 K): 0.10 eV per atom
* density of states at the Fermi level: 2.209 states/eV/f.u.
* theoretical density: 6.60 g cm⁻³

Crystalline SrRhC at its relaxed geometry. Source: Alexandria, functional GGA-PBE.

Structure (extended XYZ):
```
6
Lattice="4.059 0.000 0.000 1.783 3.830 0.000 0.081 2.045 8.366" Properties=species:S:1:pos:R:3 pbc="T T T"
Sr 0.906 1.924 2.357
Sr 5.017 3.951 6.009
Rh 2.850 5.162 8.347
Rh 3.073 0.713 0.019
C 2.853 3.429 3.801
C 3.070 2.446 4.565
```

Summary:
* distance to the lowest polymorph of the same formula: 0.08 eV per formula unit
* M_tot: 0.68 μB/cell
* electronic total energy: -6.071 eV/atom
* ΔH_f (0 K): 0.01 eV per atom
* density of states at the Fermi level: 2.035 states/eV/f.u.
* theoretical density: 5.17 g cm⁻³

Crystalline SrRhC2 at its relaxed geometry. Source: Alexandria, functional GGA-PBE.

Structure (extended XYZ):
```
16
Lattice="4.130 0.000 0.000 0.000 4.130 0.000 0.000 0.000 14.783" Properties=species:S:1:pos:R:3 pbc="T T T"
Sr 0.591 0.597 0.000
Sr 0.597 3.539 11.087
Sr 3.533 0.591 3.696
Sr 3.539 3.533 7.392
Rh 1.448 1.493 8.801
Rh 1.493 2.682 5.105
Rh 2.637 1.448 12.497
Rh 2.682 2.637 1.410
C 0.534 2.656 2.009
C 1.340 2.719 3.083
C 1.412 1.340 6.779
C 1.475 0.534 5.705
C 2.656 3.596 13.097
C 2.719 2.790 14.170
C 2.790 1.412 10.474
C 3.596 1.475 9.401
```

Summary:
* M_tot: 0.00 μB/cell
* electronic total energy: -6.908 eV/atom
* ΔH_f (0 K): -0.04 eV per atom
* density of states at the Fermi level: 1.331 states/eV/f.u.
* theoretical density: 5.65 g cm⁻³

Crystalline SrRhC at its relaxed geometry. Source: Alexandria, functional GGA-PBE.

Structure (extended XYZ):
```
3
Lattice="3.445 0.000 0.000 -1.722 2.983 0.000 0.000 0.000 5.065" Properties=species:S:1:pos:R:3 pbc="T T T"
Sr 0.000 0.000 0.000
Rh 1.722 0.994 2.591
C 0.000 1.989 3.143
```

Summary:
* distance to the lowest polymorph of the same formula: 0.53 eV per formula unit
* M_tot: 0.00 μB/cell
* electronic total energy: -5.921 eV/atom
* ΔH_f (0 K): 0.16 eV per atom
* density of states at the Fermi level: 1.136 states/eV/f.u.
* theoretical density: 6.46 g cm⁻³

Crystalline SrRhC3 at its relaxed geometry. Source: Alexandria, functional GGA-PBE.

Structure (extended XYZ):
```
5
Lattice="4.106 0.000 0.000 0.000 4.106 0.000 0.000 0.000 4.106" Properties=species:S:1:pos:R:3 pbc="T T T"
Sr 0.000 0.000 0.000
Rh 2.053 2.053 2.053
C 0.000 2.053 2.053
C 2.053 0.000 2.053
C 2.053 2.053 0.000
```

Summary:
* distance to the lowest polymorph of the same formula: 0.00 eV per formula unit
* M_tot: 0.00 μB/cell
* electronic total energy: -5.731 eV/atom
* ΔH_f (0 K): 1.61 eV per atom
* density of states at the Fermi level: 4.929 states/eV/f.u.
* theoretical density: 5.44 g cm⁻³

Crystalline Ta4RhC2 at its relaxed geometry. Source: Alexandria, functional GGA-PBE.

Structure (extended XYZ):
```
14
Lattice="1.596 -5.406 0.000 1.596 5.406 0.000 0.000 0.000 11.381" Properties=species:S:1:pos:R:3 pbc="T T T"
Ta 0.000 0.000 0.000
Ta 0.000 0.000 5.690
Ta 1.596 2.548 6.903
Ta 1.596 2.548 10.169
Ta 1.596 0.897 2.845
Ta 1.596 -0.897 8.536
Ta 1.596 -2.548 1.212
Ta 1.596 -2.548 4.478
Rh 1.596 4.249 2.845
Rh 1.596 -4.249 8.536
C 1.596 1.451 0.693
C 1.596 1.451 4.997
C 1.596 -1.451 6.384
C 1.596 -1.451 10.687
```

Summary:
* M_tot: 0.00 μB/cell
* electronic total energy: -10.999 eV/atom
* ΔH_f (0 K): -0.54 eV per atom
* density of states at the Fermi level: 3.304 states/eV/f.u.
* theoretical density: 14.39 g cm⁻³

Crystalline TaRhC2 at its relaxed geometry. Source: Alexandria, functional GGA-PBE.

Structure (extended XYZ):
```
16
Lattice="4.628 0.000 0.000 0.000 4.628 0.000 0.000 0.000 9.866" Properties=species:S:1:pos:R:3 pbc="T T T"
Ta 0.000 0.000 0.000
Ta 0.000 2.314 2.467
Ta 2.314 0.000 7.400
Ta 2.314 2.314 4.933
Rh 0.000 0.000 4.933
Rh 0.000 2.314 7.400
Rh 2.314 0.000 2.467
Rh 2.314 2.314 0.000
C 1.093 1.157 6.166
C 1.157 3.407 8.633
C 1.157 3.535 3.700
C 1.221 1.157 1.233
C 3.407 3.471 1.233
C 3.471 1.093 3.700
C 3.471 1.221 8.633
C 3.535 3.471 6.166
```

Summary:
* distance to the lowest polymorph of the same formula: 0.00 eV per formula unit
* M_tot: 0.00 μB/cell
* electronic total energy: -9.017 eV/atom
* ΔH_f (0 K): 0.40 eV per atom
* density of states at the Fermi level: 2.288 states/eV/f.u.
* theoretical density: 9.68 g cm⁻³

Crystalline Ta4RhC at its relaxed geometry. Source: Alexandria, functional GGA-PBE.

Structure (extended XYZ):
```
12
Lattice="6.412 0.000 0.000 0.000 5.625 0.000 -0.423 0.000 5.412" Properties=species:S:1:pos:R:3 pbc="T T T"
Ta 0.544 0.798 1.907
Ta 0.332 2.014 4.614
Ta 1.781 3.439 2.210
Ta 1.569 4.998 4.916
Ta 4.419 0.627 0.496
Ta 4.208 2.186 3.202
Ta 5.657 3.611 0.799
Ta 5.445 4.827 3.505
Rh 2.994 0.000 2.706
Rh 3.206 2.812 0.000
C 0.000 0.000 0.000
C -0.212 2.812 2.706
```

Summary:
* M_tot: 0.00 μB/cell
* electronic total energy: -10.714 eV/atom
* ΔH_f (0 K): -0.05 eV per atom
* density of states at the Fermi level: 3.589 states/eV/f.u.
* theoretical density: 14.27 g cm⁻³

Crystalline TaRh2C at its relaxed geometry. Source: Alexandria, functional GGA-PBE.

Structure (extended XYZ):
```
16
Lattice="5.394 0.000 0.000 0.000 5.394 0.000 0.000 0.000 8.974" Properties=species:S:1:pos:R:3 pbc="T T T"
Ta 0.000 0.000 0.000
Ta 0.000 2.697 2.243
Ta 2.697 0.000 6.730
Ta 2.697 2.697 4.487
Rh 0.855 1.349 5.608
Rh 1.349 3.552 7.852
Rh 1.349 4.540 3.365
Rh 1.842 1.349 1.122
Rh 3.552 4.046 1.122
Rh 4.046 0.855 3.365
Rh 4.046 1.842 7.852
Rh 4.540 4.046 5.608
C 0.000 0.000 4.487
C 0.000 2.697 6.730
C 2.697 0.000 2.243
C 2.697 2.697 0.000
```

Summary:
* distance to the lowest polymorph of the same formula: 0.00 eV per formula unit
* M_tot: 0.00 μB/cell
* electronic total energy: -8.552 eV/atom
* ΔH_f (0 K): 0.39 eV per atom
* density of states at the Fermi level: 3.703 states/eV/f.u.
* theoretical density: 10.14 g cm⁻³

> Which value of M_tot does entry 2 give?

0.00 μB/cell

> ΔH_f (0 K) of number 1 (SrRhC)?

-0.01 eV per atom